1.
BeCrPd: optimized geometry, PBE.

POSCAR file:
```
BeCrPd
1.0
2.873 0.004 0.003
-0.005 9.029 -0.157
-0.002 -0.876 2.734
Be Cr Pd
2 2 2
direct
0.434 0.288 0.853
0.434 0.614 0.184
0.934 0.774 0.846
0.437 0.909 0.466
0.935 0.128 0.193
0.934 0.455 0.522
```

Output
The energy is -6.42 eV per atom. Its crystal system is triclinic. For the offset from the most stable computed form, the calculation gives 0 meV/atom.

***

2.
BeCrPd: optimized geometry, PBE.

POSCAR file:
```
BeCrPd
1.0
3.828 0.733 0.351
1.408 1.497 3.331
2.207 -2.209 2.359
Cr Be Pd
1 1 1
direct
0.250 0.250 0.250
0.750 0.750 0.750
0.500 0.500 0.500
```

Output
The energy is -5.72 eV per atom. Its crystal system is cubic. For the offset from the most stable computed form, the calculation gives 705 meV/atom.

***

3.
BeCrPd: optimized geometry, PBE.

POSCAR file:
```
BeCrPd
1.0
-0.877 -2.772 2.218
6.418 -3.368 -1.674
0.511 1.545 2.133
Cr Be Pd
2 2 2
direct
0.545 0.915 0.905
0.045 0.739 0.522
0.545 0.617 0.948
0.045 0.444 0.798
0.545 0.347 0.230
0.045 0.106 0.553
```

Output
The energy is -6.30 eV per atom. Its crystal system is monoclinic. For the offset from the most stable computed form, the calculation gives 124 meV/atom.

***

4.
BeCrPd2Rh: optimized geometry, PBE.

POSCAR file:
```
BeCrPd2Rh
1.0
4.844 0.000 0.000
0.000 4.844 0.000
0.000 0.000 3.897
Be Pd Cr Rh
1 2 1 1
direct
0.000 0.000 0.500
0.500 0.000 0.000
0.000 0.500 0.000
0.500 0.500 0.500
0.000 0.000 0.000
```

Output
The energy is -4.87 eV per atom. Its crystal system is tetragonal.

***

5.
BeCrPd2Ru: optimized geometry, PBE.

POSCAR file:
```
BeCrPd2Ru
1.0
-1.868 -2.587 3.112
3.729 -1.010 1.397
-0.115 3.460 2.808
Cr Be Pd Ru
1 1 2 1
direct
0.000 0.000 0.000
0.000 0.500 0.000
0.500 0.000 0.000
0.000 0.000 0.500
0.500 0.500 0.500
```

Output
The energy is -5.30 eV per atom. Its crystal system is tetragonal.

***

6.
BeCrSn2Pd: optimized geometry, PBE.

POSCAR file:
```
BeCrSn2Pd
1.0
4.777 0.000 0.000
0.000 4.170 0.000
0.000 0.000 4.777
Be Sn Pd Cr
1 2 1 1
direct
0.000 0.000 0.000
0.000 0.000 0.500
0.500 0.000 0.000
0.000 0.500 0.000
0.500 0.500 0.500
```

Output
The energy is -4.53 eV per atom. Its crystal system is tetragonal.

***

Number 1: energy relative to the elements -0.2394 eV/atom. Number 2: energy relative to the elements 0.4656 eV/atom. Number 3: energy relative to the elements -0.1158 eV/atom. Number 4: energy relative to the elements 1.3472 eV/atom. Number 5: energy relative to the elements 1.3012 eV/atom. Number 6: energy relative to the elements 0.7774 eV/atom.